[1]
# Ac2PmRu | Alexandria via LeMat-Bulk | PBE | optimized geometry
data_Ac2PmRu
_chemical_formula_sum 'Ac2 Pm1 Ru1'
_symmetry_space_group_name_H-M 'P 4/m m m'
_symmetry_Int_Tables_number 123
_symmetry_space_group_name_Hall '-P 4 2'
_cell_length_a 3.714
_cell_length_b 3.714
_cell_length_c 9.552
_cell_angle_alpha 90.00
_cell_angle_beta 90.00
_cell_angle_gamma 90.00
loop_
_atom_site_label
_atom_site_fract_x
_atom_site_fract_y
_atom_site_fract_z
Ac1 0.000 0.000 0.188
Pm1 0.500 0.500 0.500
Ru1 0.500 0.500 0.000
# Electronic total energy, eV/atom: -5.49
# D(E_F), states/eV/f.u.: 5.978
# Polymorph energy (0 for the lowest one), eV/f.u.: 0.868

[2]
# NaGaIN2 | Alexandria via LeMat-Bulk | PBE | optimized geometry
data_NaGaIN2
_chemical_formula_sum 'Na1 Ga1 I1 N2'
_symmetry_space_group_name_H-M 'P 4/m m m'
_symmetry_Int_Tables_number 123
_symmetry_space_group_name_Hall '-P 4 2'
_cell_length_a 4.081
_cell_length_b 4.081
_cell_length_c 6.254
_cell_angle_alpha 90.00
_cell_angle_beta 90.00
_cell_angle_gamma 90.00
loop_
_atom_site_label
_atom_site_fract_x
_atom_site_fract_y
_atom_site_fract_z
Na1 0.000 0.000 0.000
Ga1 0.500 0.500 0.500
I1 0.500 0.500 0.000
N1 0.000 0.500 0.500
# Electronic total energy, eV/atom: -3.73
# D(E_F), states/eV/f.u.: 1.602
# Polymorph energy (0 for the lowest one), eV/f.u.: 0.000

[3]
# Li3PaSn2Se6 | Alexandria via LeMat-Bulk | PBE | optimized geometry
data_Li3PaSn2Se6
_chemical_formula_sum 'Li6 Pa2 Sn4 Se12'
_symmetry_space_group_name_H-M 'C 1 2/m 1'
_symmetry_Int_Tables_number 12
_cell_length_a 7.288
_cell_length_b 12.689
_cell_length_c 6.811
_cell_angle_alpha 90.00
_cell_angle_beta 110.76
_cell_angle_gamma 90.00
loop_
_symmetry_equiv_pos_as_xyz
'x,y,z'
'-x,-y,-z'
'-x,y,-z'
'x,-y,z'
'x+1/2,y+1/2,z'
'-x+1/2,-y+1/2,-z'
'-x+1/2,y+1/2,-z'
'x+1/2,-y+1/2,z'
loop_
_atom_site_label
_atom_site_fract_x
_atom_site_fract_y
_atom_site_fract_z
Li1 0.000 0.000 0.000
Li2 0.000 0.339 0.000
Pa1 0.000 0.500 0.500
Sn1 0.000 0.168 0.500
Se1 0.232 0.500 0.251
Se2 0.241 0.344 0.757
# Electronic total energy, eV/atom: -4.70

[4]
# SmDyTm2 | Alexandria via LeMat-Bulk | PBE | optimized geometry
data_SmDyTm2
_chemical_formula_sum 'Sm1 Dy1 Tm2'
_symmetry_space_group_name_H-M 'P 4/m m m'
_symmetry_Int_Tables_number 123
_symmetry_space_group_name_Hall '-P 4 2'
_cell_length_a 3.538
_cell_length_b 3.538
_cell_length_c 9.989
_cell_angle_alpha 90.00
_cell_angle_beta 90.00
_cell_angle_gamma 90.00
loop_
_atom_site_label
_atom_site_fract_x
_atom_site_fract_y
_atom_site_fract_z
Sm1 0.000 0.000 0.000
Dy1 0.000 0.000 0.500
Tm1 0.500 0.500 0.253
# Electronic total energy, eV/atom: -4.54
# D(E_F), states/eV/f.u.: 5.559
# Polymorph energy (0 for the lowest one), eV/f.u.: 0.040

[5]
# TiNbVGa | Alexandria via LeMat-Bulk | PBE | optimized geometry
data_TiNbVGa
_chemical_formula_sum 'Ti4 Nb4 V4 Ga4'
_symmetry_space_group_name_H-M 'F -4 3 m'
_symmetry_Int_Tables_number 216
_symmetry_space_group_name_Hall 'F -4 2 3'
_cell_length_a 6.325
_cell_length_b 6.325
_cell_length_c 6.325
_cell_angle_alpha 90.00
_cell_angle_beta 90.00
_cell_angle_gamma 90.00
loop_
_atom_site_label
_atom_site_fract_x
_atom_site_fract_y
_atom_site_fract_z
Ti1 0.000 0.000 0.000
Nb1 0.250 0.250 0.250
V1 0.000 0.000 0.500
Ga1 0.250 0.250 0.750
# Electronic total energy, eV/atom: -7.72
# D(E_F), states/eV/f.u.: 2.963

[6]
# Li3Nd2ScS6 | Alexandria via LeMat-Bulk | PBE | optimized geometry
data_Li3Nd2ScS6
_chemical_formula_sum 'Li6 Nd4 Sc2 S12'
_symmetry_space_group_name_H-M 'C 1 2/m 1'
_symmetry_Int_Tables_number 12
_cell_length_a 6.831
_cell_length_b 11.916
_cell_length_c 6.548
_cell_angle_alpha 90.00
_cell_angle_beta 109.40
_cell_angle_gamma 90.00
loop_
_symmetry_equiv_pos_as_xyz
'x,y,z'
'-x,-y,-z'
'-x,y,-z'
'x,-y,z'
'x+1/2,y+1/2,z'
'-x+1/2,-y+1/2,-z'
'-x+1/2,y+1/2,-z'
'x+1/2,-y+1/2,z'
loop_
_atom_site_label
_atom_site_fract_x
_atom_site_fract_y
_atom_site_fract_z
Li1 0.000 0.000 0.000
Li2 0.000 0.352 0.000
Nd1 0.000 0.168 0.500
Sc1 0.000 0.500 0.500
S1 0.235 0.500 0.253
S2 0.236 0.345 0.751
# Electronic total energy, eV/atom: -5.63
# D(E_F), states/eV/f.u.: 0.000

[7]
# NaSr2InPd | Alexandria via LeMat-Bulk | PBE | optimized geometry
data_NaSr2InPd
_chemical_formula_sum 'Na1 Sr2 In1 Pd1'
_symmetry_space_group_name_H-M 'P 4/m m m'
_symmetry_Int_Tables_number 123
_symmetry_space_group_name_Hall '-P 4 2'
_cell_length_a 5.945
_cell_length_b 5.945
_cell_length_c 5.257
_cell_angle_alpha 90.00
_cell_angle_beta 90.00
_cell_angle_gamma 90.00
loop_
_atom_site_label
_atom_site_fract_x
_atom_site_fract_y
_atom_site_fract_z
Na1 0.000 0.000 0.000
Sr1 0.000 0.500 0.500
In1 0.500 0.500 0.000
Pd1 0.500 0.500 0.500
# Electronic total energy, eV/atom: -2.85
# D(E_F), states/eV/f.u.: 4.353

[8]
# Y2CrFe | Alexandria via LeMat-Bulk | PBE | optimized geometry
data_Y2CrFe
_chemical_formula_sum 'Y4 Cr2 Fe2'
_symmetry_space_group_name_H-M 'I m m 2'
_symmetry_Int_Tables_number 44
_cell_length_a 3.436
_cell_length_b 4.698
_cell_length_c 10.601
_cell_angle_alpha 90.00
_cell_angle_beta 90.00
_cell_angle_gamma 90.00
loop_
_symmetry_equiv_pos_as_xyz
'x,y,z'
'-x,-y,z'
'-x,y,z'
'x,-y,z'
'x+1/2,y+1/2,z+1/2'
'-x+1/2,-y+1/2,z+1/2'
'-x+1/2,y+1/2,z+1/2'
'x+1/2,-y+1/2,z+1/2'
loop_
_atom_site_label
_atom_site_fract_x
_atom_site_fract_y
_atom_site_fract_z
Y1 0.000 0.000 0.000
Y2 0.000 0.500 0.223
Cr1 0.000 0.500 0.808
Fe1 0.000 0.000 0.431
# Electronic total energy, eV/atom: -7.51
# D(E_F), states/eV/f.u.: 5.440
# Polymorph energy (0 for the lowest one), eV/f.u.: 0.688

[9]
# Ce4CdPb5 | Alexandria via LeMat-Bulk | PBE | optimized geometry
data_Ce4CdPb5
_chemical_formula_sum 'Ce8 Cd2 Pb10'
_symmetry_space_group_name_H-M 'P m m n'
_symmetry_Int_Tables_number 59
_cell_length_a 6.985
_cell_length_b 10.916
_cell_length_c 8.285
_cell_angle_alpha 90.00
_cell_angle_beta 90.00
_cell_angle_gamma 90.00
loop_
_symmetry_equiv_pos_as_xyz
'x,y,z'
'-x,-y,-z'
'-x+1/2,-y+1/2,z'
'x+1/2,y+1/2,-z'
'x+1/2,-y,-z'
'-x+1/2,y,z'
'-x,y+1/2,-z'
'x,-y+1/2,z'
loop_
_atom_site_label
_atom_site_fract_x
_atom_site_fract_y
_atom_site_fract_z
Ce1 0.036 0.250 0.163
Ce2 0.250 0.572 0.504
Cd1 0.250 0.750 0.154
Pb1 0.032 0.054 0.825
Pb2 0.250 0.250 0.511
# Electronic total energy, eV/atom: -4.35
# D(E_F), states/eV/f.u.: 26.332
# Polymorph energy (0 for the lowest one), eV/f.u.: 3.071

[10]
# Ce6InGa | Alexandria via LeMat-Bulk | PBE | optimized geometry
data_Ce6InGa
_chemical_formula_sum 'Ce6 In1 Ga1'
_symmetry_space_group_name_H-M 'P 4/m m m'
_symmetry_Int_Tables_number 123
_symmetry_space_group_name_Hall '-P 4 2'
_cell_length_a 4.727
_cell_length_b 4.727
_cell_length_c 9.422
_cell_angle_alpha 90.00
_cell_angle_beta 90.00
_cell_angle_gamma 90.00
loop_
_atom_site_label
_atom_site_fract_x
_atom_site_fract_y
_atom_site_fract_z
Ce1 0.000 0.000 0.000
Ce2 0.000 0.000 0.500
Ce3 0.000 0.500 0.240
In1 0.500 0.500 0.500
Ga1 0.500 0.500 0.000
# Electronic total energy, eV/atom: -5.39
# D(E_F), states/eV/f.u.: 24.682

[11]
# Mn3PW | Alexandria via LeMat-Bulk | PBE | optimized geometry
data_Mn3PW
_chemical_formula_sum 'Mn3 P1 W1'
_symmetry_space_group_name_H-M 'P m -3 m'
_symmetry_Int_Tables_number 221
_symmetry_space_group_name_Hall '-P 4 2 3'
_cell_length_a 4.052
_cell_length_b 4.052
_cell_length_c 4.052
_cell_angle_alpha 90.00
_cell_angle_beta 90.00
_cell_angle_gamma 90.00
loop_
_atom_site_label
_atom_site_fract_x
_atom_site_fract_y
_atom_site_fract_z
Mn1 0.000 0.000 0.500
P1 0.000 0.000 0.000
W1 0.500 0.500 0.500
# Electronic total energy, eV/atom: -8.64
# D(E_F), states/eV/f.u.: 3.495
# Polymorph energy (0 for the lowest one), eV/f.u.: 0.000

[12]
# BeReOs2Se | Alexandria via LeMat-Bulk | PBE | optimized geometry
data_BeReOs2Se
_chemical_formula_sum 'Be1 Re1 Os2 Se1'
_symmetry_space_group_name_H-M 'P 4/m m m'
_symmetry_Int_Tables_number 123
_symmetry_space_group_name_Hall '-P 4 2'
_cell_length_a 4.779
_cell_length_b 4.779
_cell_length_c 4.656
_cell_angle_alpha 90.00
_cell_angle_beta 90.00
_cell_angle_gamma 90.00
loop_
_atom_site_label
_atom_site_fract_x
_atom_site_fract_y
_atom_site_fract_z
Be1 0.000 0.000 0.000
Re1 0.500 0.500 0.500
Os1 0.000 0.500 0.500
Se1 0.500 0.500 0.000
# Electronic total energy, eV/atom: -6.29
# D(E_F), states/eV/f.u.: 6.299

[13]
# K3RbHg | Alexandria via LeMat-Bulk | PBE | optimized geometry
data_K3RbHg
_chemical_formula_sum 'K3 Rb1 Hg1'
_symmetry_space_group_name_H-M 'P m -3 m'
_symmetry_Int_Tables_number 221
_symmetry_space_group_name_Hall '-P 4 2 3'
_cell_length_a 6.900
_cell_length_b 6.900
_cell_length_c 6.900
_cell_angle_alpha 90.00
_cell_angle_beta 90.00
_cell_angle_gamma 90.00
loop_
_atom_site_label
_atom_site_fract_x
_atom_site_fract_y
_atom_site_fract_z
K1 0.000 0.000 0.500
Rb1 0.500 0.500 0.500
Hg1 0.000 0.000 0.000
# Electronic total energy, eV/atom: -0.99
# D(E_F), states/eV/f.u.: 4.059
# Polymorph energy (0 for the lowest one), eV/f.u.: 0.091

[14]
# Ac3PmS4 | Alexandria via LeMat-Bulk | PBE | optimized geometry
data_Ac3PmS4
_chemical_formula_sum 'Ac6 Pm2 S8'
_symmetry_space_group_name_H-M 'P 1 2/c 1'
_symmetry_Int_Tables_number 13
_cell_length_a 7.375
_cell_length_b 8.425
_cell_length_c 7.356
_cell_angle_alpha 90.00
_cell_angle_beta 109.35
_cell_angle_gamma 90.00
loop_
_symmetry_equiv_pos_as_xyz
'x,y,z'
'-x,-y,-z'
'-x,y,-z+1/2'
'x,-y,z+1/2'
loop_
_atom_site_label
_atom_site_fract_x
_atom_site_fract_y
_atom_site_fract_z
Ac1 0.000 0.124 0.250
Ac2 0.000 0.374 0.750
Ac3 0.500 0.373 0.250
Pm1 0.500 0.123 0.750
S1 0.257 0.368 0.507
S2 0.262 0.119 0.000
# Electronic total energy, eV/atom: -6.20
# D(E_F), states/eV/f.u.: 3.546
# Polymorph energy (0 for the lowest one), eV/f.u.: 0.000

[15]
# GaTeN2F | Alexandria via LeMat-Bulk | PBE | optimized geometry
data_GaTeN2F
_chemical_formula_sum 'Ga1 Te1 N2 F1'
_symmetry_space_group_name_H-M 'P 4/m m m'
_symmetry_Int_Tables_number 123
_symmetry_space_group_name_Hall '-P 4 2'
_cell_length_a 4.050
_cell_length_b 4.050
_cell_length_c 3.782
_cell_angle_alpha 90.00
_cell_angle_beta 90.00
_cell_angle_gamma 90.00
loop_
_atom_site_label
_atom_site_fract_x
_atom_site_fract_y
_atom_site_fract_z
Ga1 0.000 0.000 0.000
Te1 0.500 0.500 0.500
N1 0.000 0.500 0.000
F1 0.000 0.000 0.500
# Electronic total energy, eV/atom: -4.61
# D(E_F), states/eV/f.u.: 1.454
# Polymorph energy (0 for the lowest one), eV/f.u.: 0.000

[16]
# BeNi2N | Alexandria via LeMat-Bulk | PBE | optimized geometry
data_BeNi2N
_chemical_formula_sum 'Be4 Ni8 N4'
_symmetry_space_group_name_H-M 'F m -3 m'
_symmetry_Int_Tables_number 225
_symmetry_space_group_name_Hall '-F 4 2 3'
_cell_length_a 5.192
_cell_length_b 5.192
_cell_length_c 5.192
_cell_angle_alpha 90.00
_cell_angle_beta 90.00
_cell_angle_gamma 90.00
loop_
_atom_site_label
_atom_site_fract_x
_atom_site_fract_y
_atom_site_fract_z
Be1 0.000 0.000 0.000
Ni1 0.250 0.250 0.250
N1 0.000 0.000 0.500
# Electronic total energy, eV/atom: -5.25
# D(E_F), states/eV/f.u.: 3.396
# Polymorph energy (0 for the lowest one), eV/f.u.: 0.796

[17]
# TaP2Os | Alexandria via LeMat-Bulk | PBE | optimized geometry
data_TaP2Os
_chemical_formula_sum 'Ta2 P4 Os2'
_symmetry_space_group_name_H-M 'I -4 m 2'
_symmetry_Int_Tables_number 119
_symmetry_space_group_name_Hall 'I -4 -2'
_cell_length_a 3.501
_cell_length_b 3.501
_cell_length_c 9.498
_cell_angle_alpha 90.00
_cell_angle_beta 90.00
_cell_angle_gamma 90.00
loop_
_atom_site_label
_atom_site_fract_x
_atom_site_fract_y
_atom_site_fract_z
Ta1 0.000 0.000 0.000
P1 0.000 0.000 0.500
P2 0.000 0.500 0.250
Os1 0.000 0.500 0.750
# Electronic total energy, eV/atom: -8.49
# D(E_F), states/eV/f.u.: 2.612
# Polymorph energy (0 for the lowest one), eV/f.u.: 1.204

[18]
# KNbTe2N | Alexandria via LeMat-Bulk | PBE | optimized geometry
data_KNbTe2N
_chemical_formula_sum 'K1 Nb1 Te2 N1'
_symmetry_space_group_name_H-M 'P 4/m m m'
_symmetry_Int_Tables_number 123
_symmetry_space_group_name_Hall '-P 4 2'
_cell_length_a 5.796
_cell_length_b 5.796
_cell_length_c 3.954
_cell_angle_alpha 90.00
_cell_angle_beta 90.00
_cell_angle_gamma 90.00
loop_
_atom_site_label
_atom_site_fract_x
_atom_site_fract_y
_atom_site_fract_z
K1 0.000 0.000 0.000
Nb1 0.500 0.500 0.500
Te1 0.000 0.500 0.500
N1 0.500 0.500 0.000
# Electronic total energy, eV/atom: -5.42
# D(E_F), states/eV/f.u.: 3.655
# Polymorph energy (0 for the lowest one), eV/f.u.: 0.000

[19]
# U4Cr7Si | Alexandria via LeMat-Bulk | PBE | optimized geometry
data_U4Cr7Si
_chemical_formula_sum 'U4 Cr7 Si1'
_symmetry_space_group_name_H-M 'P -3 m 1'
_symmetry_Int_Tables_number 164
_symmetry_space_group_name_Hall '-P 3 2"'
_cell_length_a 5.1176
_cell_length_b 5.1176
_cell_length_c 8.0116
_cell_angle_alpha 90.00
_cell_angle_beta 90.00
_cell_angle_gamma 120.00
loop_
_atom_site_label
_atom_site_fract_x
_atom_site_fract_y
_atom_site_fract_z
U1 0.3333 0.6667 0.0781
U2 0.3333 0.6667 0.4159
Cr1 0.0000 0.0000 0.5000
Cr2 0.1701 0.3402 0.7499
Si1 0.0000 0.0000 0.0000
# Electronic total energy, eV/atom: -9.76
# D(E_F), states/eV/f.u.: 23.534

[20]
# Na6SnBr8 | Alexandria via LeMat-Bulk | PBE | optimized geometry
data_Na6SnBr8
_chemical_formula_sum 'Na24 Sn4 Br32'
_symmetry_space_group_name_H-M 'F m -3 m'
_symmetry_Int_Tables_number 225
_symmetry_space_group_name_Hall '-F 4 2 3'
_cell_length_a 12.142
_cell_length_b 12.142
_cell_length_c 12.142
_cell_angle_alpha 90.00
_cell_angle_beta 90.00
_cell_angle_gamma 90.00
loop_
_atom_site_label
_atom_site_fract_x
_atom_site_fract_y
_atom_site_fract_z
Na1 0.000 0.250 0.250
Sn1 0.000 0.000 0.000
Br1 0.000 0.000 0.247
Br2 0.250 0.250 0.250
# Electronic total energy, eV/atom: -3.09
# D(E_F), states/eV/f.u.: 0.000